The following is a DFT calculation (PBE+U) of crystalline MgV2O4 at its relaxed geometry.

a = 6.0541 Å, b = 6.0541 Å, c = 6.0541 Å
α = 60.03°, β = 60.03°, γ = 60.03°
Element x y z (fractional)
O  0.1345  0.1345  0.1345
O  0.1313  0.5967  0.1313
V  0.7531  0.7531  0.7531
O  0.6193  0.6193  0.1473
V  0.3734  0.3734  0.8806
O  0.1473  0.6193  0.6193
O  0.6193  0.1473  0.6193
O  0.6170  0.6170  0.6170
O  0.5967  0.1313  0.1313
O  0.1313  0.1313  0.5967
Mg  0.3732  0.3732  0.3732
V  0.8806  0.3734  0.3734
V  0.3734  0.8806  0.3734
Mg  0.9966  0.9966  0.9966

Calculated values
The calculation puts the energy above the most stable polymorph in this dataset at 1.3 kJ per mole of atoms. The total energy is -7.430 eV per atom. The space group is No. 160.